1.
Here is a geometry-optimized Sm3YSe6 structure from the Alexandria database. Energies are from PBE.

a = 8.528 Å, b = 8.528 Å, c = 8.528 Å
α = 91.05°, β = 91.05°, γ = 91.05°
Sites, in units of the cell vectors:
1 Sm 0.070 0.579 0.746
2 Sm 0.254 0.930 0.421
3 Sm 0.421 0.254 0.930
4 Sm 0.579 0.746 0.070
5 Sm 0.746 0.070 0.579
6 Sm 0.930 0.421 0.254
7 Y 0.000 0.000 0.000
8 Y 0.500 0.500 0.500
9 Se 0.038 0.910 0.683
10 Se 0.090 0.317 0.962
11 Se 0.187 0.588 0.417
12 Se 0.317 0.962 0.090
13 Se 0.412 0.583 0.813
14 Se 0.417 0.187 0.588
15 Se 0.583 0.813 0.412
16 Se 0.588 0.417 0.187
17 Se 0.683 0.038 0.910
18 Se 0.813 0.412 0.583
19 Se 0.910 0.683 0.038
20 Se 0.962 0.090 0.317

Computed properties:
Total magnetic moment in μB per formula unit: 0.00
Space-group type: No. 148

2.
Here is a geometry-optimized K3PrY2Te6 structure from the Alexandria database. Energies are from PBE.

a = 7.880 Å, b = 7.880 Å, c = 8.661 Å
α = 98.74°, β = 98.74°, γ = 120.01°
Sites, in units of the cell vectors:
1 K 0.000 0.000 0.000
2 K 0.336 0.664 0.000
3 K 0.664 0.336 0.000
4 Pr 0.500 0.500 0.500
5 Y 0.167 0.833 0.500
6 Y 0.833 0.167 0.500
7 Te 0.087 0.429 0.289
8 Te 0.228 0.228 0.711
9 Te 0.429 0.087 0.289
10 Te 0.571 0.913 0.711
11 Te 0.772 0.772 0.289
12 Te 0.913 0.571 0.711

Computed properties:
Total magnetic moment in μB per formula unit: 0.00
Space-group type: No. 12

Formation energy without anion corrections for the records above, in order: -1862, -1413 meV per atom